(1)
# HoThCuSi

A geometry-optimized HoThCuSi structure (PBE-GGA, Alexandria).

Geometry as extended XYZ:
```
4
Lattice="5.0066 0.0000 0.0000 2.5033 4.3359 0.0000 2.5033 1.4453 4.0879" Properties=species:S:1:pos:R:3 pbc="T T T"
Ho 0.0000 0.0000 0.0000
Th 5.0066 2.8906 2.0439
Si 7.5099 4.3359 3.0659
Cu 2.5033 1.4453 1.0220
```

Output
ΔE_f (raw) in eV/atom: -0.33
M_tot in μB per cell: 0.0
SG: F-43m
V in Å³ per cell: 88.7

---

(2)
# HoTm2Cu2Si2

A geometry-optimized HoTm2Cu2Si2 structure (PBE-GGA, Alexandria).

Geometry as extended XYZ:
```
7
Lattice="-0.1776 -0.2374 -4.0466 -0.9345 -3.5210 -1.7866 -10.4582 1.2751 -1.6499" Properties=species:S:1:pos:R:3 pbc="T T T"
Tm -4.7465 -2.8476 -5.7271
Tm -6.8239 0.3644 -1.7560
Cu -8.9376 -0.4516 -3.6495
Cu -2.6328 -2.0316 -3.8336
Si -9.3272 -1.6997 -5.5933
Si -2.2432 -0.7835 -1.8897
Ho 0.0000 0.0000 0.0000
```

Output
ΔE_f (raw) in eV/atom: -0.50
M_tot in μB per cell: 0.0
SG: R-3m
V in Å³ per cell: 148.3

---

(3)
# HoTmCuSi

A geometry-optimized HoTmCuSi structure (PBE-GGA, Alexandria).

Geometry as extended XYZ:
```
4
Lattice="4.8819 0.0000 0.0000 2.4410 4.2279 0.0000 2.4410 1.4093 3.9861" Properties=species:S:1:pos:R:3 pbc="T T T"
Cu 2.4410 1.4093 0.9965
Ho 0.0000 0.0000 0.0000
Tm 4.8819 2.8186 1.9930
Si 7.3229 4.2279 2.9895
```

Output
ΔE_f (raw) in eV/atom: -0.43
M_tot in μB per cell: 0.0
SG: F-43m
V in Å³ per cell: 82.3
Offset from the most stable computed form in eV per atom: 0.113

---

(4)
# HoTmCuSi

A geometry-optimized HoTmCuSi structure (PBE-GGA, Alexandria).

Geometry as extended XYZ:
```
4
Lattice="4.0184 0.0000 0.0000 0.0000 4.0473 0.0000 -2.0092 0.0000 5.2908" Properties=species:S:1:pos:R:3 pbc="T T T"
Ho 0.0000 0.0000 1.5056
Cu 2.0092 2.0236 0.7196
Si 0.0000 0.0000 4.5274
Tm 2.0092 2.0236 3.8291
```

Output
ΔE_f (raw) in eV/atom: -0.55
M_tot in μB per cell: 0.0
SG: Amm2
V in Å³ per cell: 86.0
Offset from the most stable computed form in eV per atom: 0.000

---

(5)
# YHoCuSi

A geometry-optimized YHoCuSi structure (PBE-GGA, Alexandria).

Geometry as extended XYZ:
```
4
Lattice="4.9244 0.0000 0.0000 2.4622 4.2646 0.0000 2.4622 1.4215 4.0207" Properties=species:S:1:pos:R:3 pbc="T T T"
Y 4.9244 2.8431 2.0104
Ho 0.0000 0.0000 0.0000
Si 7.3866 4.2646 3.0156
Cu 2.4622 1.4215 1.0052
```

Output
ΔE_f (raw) in eV/atom: -0.44
M_tot in μB per cell: 0.0
SG: F-43m
V in Å³ per cell: 84.4
Offset from the most stable computed form in eV per atom: 0.110

---

(6)
# YHoCuSi

A geometry-optimized YHoCuSi structure (PBE-GGA, Alexandria).

Geometry as extended XYZ:
```
4
Lattice="4.0580 0.0000 0.0000 0.0000 4.0822 0.0000 -2.0290 0.0000 5.3261" Properties=species:S:1:pos:R:3 pbc="T T T"
Y 0.0000 0.0000 1.5144
Ho 2.0290 2.0411 3.8578
Si 0.0000 0.0000 4.5677
Cu 2.0290 2.0411 0.7125
```

Output
ΔE_f (raw) in eV/atom: -0.55
M_tot in μB per cell: 0.0
SG: Amm2
V in Å³ per cell: 88.2
Offset from the most stable computed form in eV per atom: 0.000